(1)
The following is a DFT calculation (meta-GGA SCAN) of BaMnB3 at its PBEsol-relaxed geometry.

Properties
The energy is -13.075 eV per atom.

```
BaMnB3
1.0
4.725 0.000 0.000
0.000 4.725 0.000
0.000 0.000 4.725
Ba Mn B
1 1 3
Cartesian
0.000 0.000 0.000 Ba
2.362 2.362 2.362 Mn
0.000 0.000 2.362 B
0.000 2.362 0.000 B
2.362 0.000 0.000 B
```

(2)
The following is a DFT calculation (meta-GGA SCAN) of CsNaHg2 at its PBEsol-relaxed geometry.

Properties
The energy is -44.796 eV per atom.

```
CsNaHg2
1.0
8.238 0.000 0.000
0.000 8.238 0.000
0.000 0.000 8.238
Cs Na Hg
4 4 8
Cartesian
0.000 0.000 0.000 Cs
0.000 4.119 4.119 Cs
4.119 0.000 4.119 Cs
4.119 4.119 0.000 Cs
0.000 0.000 4.119 Na
0.000 4.119 0.000 Na
4.119 0.000 0.000 Na
4.119 4.119 4.119 Na
2.059 2.059 2.059 Hg
2.059 2.059 6.178 Hg
2.059 6.178 2.059 Hg
2.059 6.178 6.178 Hg
6.178 2.059 2.059 Hg
6.178 2.059 6.178 Hg
6.178 6.178 2.059 Hg
6.178 6.178 6.178 Hg
```

(3)
The following is a DFT calculation (meta-GGA SCAN) of YBi2SeCl at its PBEsol-relaxed geometry.

Properties
For the raw formation energy, the calculation gives 83 kJ/mol of formula units.

```
YBi2SeCl
1.0
5.233 0.000 0.000
0.000 5.233 0.000
0.000 0.000 5.273
Y Bi Se Cl
1 2 1 1
Cartesian
0.000 0.000 0.000 Y
0.000 2.617 2.636 Bi
2.617 0.000 2.636 Bi
2.617 2.617 0.000 Se
2.617 2.617 2.636 Cl
```

(4)
The following is a DFT calculation (meta-GGA SCAN) of Sb2PdCI at its PBEsol-relaxed geometry.

Properties
For the raw formation energy, the calculation gives 606 kJ/mol of formula units.

```
Sb2PdCI
1.0
4.678 0.000 0.000
0.000 4.678 0.000
0.000 0.000 4.733
Sb Pd C I
2 1 1 1
Cartesian
0.000 2.339 0.000 Sb
2.339 0.000 0.000 Sb
0.000 0.000 2.367 Pd
2.339 2.339 0.000 C
2.339 2.339 2.367 I
```

(5)
The following is a DFT calculation (meta-GGA SCAN) of Cd2CuCl at its PBEsol-relaxed geometry.

Properties
For the raw formation energy, the calculation gives 45 kJ/mol of formula units.

```
Cd2CuCl
1.0
3.004 0.000 0.000
0.000 4.866 0.000
0.000 0.000 5.201
Cd Cu Cl
2 1 1
Cartesian
0.000 0.000 0.000 Cd
1.502 2.433 0.000 Cd
0.000 2.433 2.601 Cu
1.502 0.000 2.601 Cl
```

(6)
The following is a DFT calculation (meta-GGA SCAN) of Tl2IF at its PBEsol-relaxed geometry.

Properties
For the raw formation energy, the calculation gives -450 kJ/mol of formula units.

```
Tl2IF
1.0
7.970 0.000 0.000
0.000 7.970 0.000
0.000 0.000 7.666
Tl I F
8 4 4
Cartesian
1.299 5.978 0.958 Tl
1.993 1.299 6.708 Tl
1.993 2.686 2.875 Tl
2.686 5.978 4.791 Tl
5.284 1.993 4.791 Tl
5.978 5.284 2.875 Tl
5.978 6.671 6.708 Tl
6.671 1.993 0.958 Tl
0.000 0.000 3.833 I
0.000 3.985 5.750 I
3.985 0.000 1.917 I
3.985 3.985 0.000 I
0.000 0.000 0.000 F
0.000 3.985 1.917 F
3.985 0.000 5.750 F
3.985 3.985 3.833 F
```

(7)
The following is a DFT calculation (meta-GGA SCAN) of BaBe2InNi at its PBEsol-relaxed geometry.

Properties
The energy is -18.990 eV per atom.

```
BaBe2InNi
1.0
4.517 0.000 0.000
0.000 4.517 0.000
0.000 0.000 5.330
Ba Be In Ni
1 2 1 1
Cartesian
0.000 0.000 0.000 Ba
0.000 2.258 2.665 Be
2.258 0.000 2.665 Be
2.258 2.258 0.000 In
0.000 0.000 2.665 Ni
```

(8)
The following is a DFT calculation (meta-GGA SCAN) of TlTeAu2 at its PBEsol-relaxed geometry.

Properties
For the raw formation energy, the calculation gives -25 kJ/mol of formula units.

```
TlTeAu2
1.0
4.522 0.000 0.000
0.000 5.667 0.000
0.000 0.000 7.485
Tl Te Au
2 2 4
Cartesian
0.000 0.000 0.000 Tl
0.000 2.833 3.742 Tl
2.261 0.000 2.485 Te
2.261 2.833 6.227 Te
0.000 0.000 4.092 Au
0.000 2.833 0.349 Au
2.261 0.000 5.667 Au
2.261 2.833 1.924 Au
```

(9)
The following is a DFT calculation (meta-GGA SCAN) of CdCuIr2 at its PBEsol-relaxed geometry.

Properties
The energy is -46.583 eV per atom.

```
CdCuIr2
1.0
6.179 0.000 0.000
0.000 6.179 0.000
0.000 0.000 6.179
Cd Cu Ir
4 4 8
Cartesian
0.000 0.000 0.000 Cd
0.000 3.089 3.089 Cd
3.089 0.000 3.089 Cd
3.089 3.089 0.000 Cd
1.545 1.545 4.634 Cu
1.545 4.634 1.545 Cu
4.634 1.545 1.545 Cu
4.634 4.634 4.634 Cu
0.000 0.000 3.089 Ir
0.000 3.089 0.000 Ir
1.545 1.545 1.545 Ir
1.545 4.634 4.634 Ir
3.089 0.000 0.000 Ir
3.089 3.089 3.089 Ir
4.634 1.545 4.634 Ir
4.634 4.634 1.545 Ir
```

(10)
The following is a DFT calculation (meta-GGA SCAN) of HfAuNF2 at its PBEsol-relaxed geometry.

Properties
For the raw formation energy, the calculation gives -135 kJ/mol of formula units.

```
HfAuNF2
1.0
4.042 0.000 0.000
0.000 4.042 0.000
0.000 0.000 4.216
Hf Au N F
1 1 1 2
Cartesian
0.000 0.000 0.000 Hf
2.021 2.021 0.000 Au
0.000 0.000 2.108 N
0.000 2.021 2.108 F
2.021 0.000 2.108 F
```

(11)
The following is a DFT calculation (meta-GGA SCAN) of Li2HfAs2 at its PBEsol-relaxed geometry.

Properties
The energy is -22.160 eV per atom.

```
Li2HfAs2
1.0
3.509 0.000 0.000
0.000 3.509 0.000
0.000 0.000 13.112
Li Hf As
4 2 4
Cartesian
0.000 1.754 3.278 Li
0.000 1.754 9.834 Li
1.754 0.000 3.278 Li
1.754 0.000 9.834 Li
0.000 0.000 0.000 Hf
1.754 1.754 6.556 Hf
0.000 0.000 5.120 As
0.000 0.000 7.991 As
1.754 1.754 1.435 As
1.754 1.754 11.676 As
```

(12)
The following is a DFT calculation (meta-GGA SCAN) of Cr2Si2Rh at its PBEsol-relaxed geometry.

Properties
For the raw formation energy, the calculation gives 83 kJ/mol of formula units.

```
Cr2Si2Rh
1.0
3.319 0.000 0.000
0.000 3.319 0.000
0.000 0.000 11.700
Cr Si Rh
4 4 2
Cartesian
0.000 1.659 2.925 Cr
0.000 1.659 8.775 Cr
1.659 0.000 2.925 Cr
1.659 0.000 8.775 Cr
0.000 0.000 1.171 Si
0.000 0.000 10.529 Si
1.659 1.659 4.679 Si
1.659 1.659 7.022 Si
0.000 0.000 5.850 Rh
1.659 1.659 0.000 Rh
```

(13)
The following is a DFT calculation (meta-GGA SCAN) of TaAg2Au at its PBEsol-relaxed geometry.

Properties
The energy is -49.438 eV per atom.

```
TaAg2Au
1.0
2.781 0.000 0.000
0.000 4.918 0.000
0.000 0.000 5.007
Ta Ag Au
1 2 1
Cartesian
0.000 0.000 0.000 Ta
0.000 2.459 2.503 Ag
1.391 0.000 2.503 Ag
1.391 2.459 0.000 Au
```

(14)
The following is a DFT calculation (meta-GGA SCAN) of Mg2MoCCl at its PBEsol-relaxed geometry.

Properties
For the raw formation energy, the calculation gives 827 kJ/mol of formula units.

```
Mg2MoCCl
1.0
5.270 0.000 0.000
0.000 5.270 0.000
0.000 0.000 4.372
Mg Mo C Cl
2 1 1 1
Cartesian
0.000 2.635 0.000 Mg
2.635 0.000 0.000 Mg
0.000 0.000 0.000 Mo
2.635 2.635 2.186 C
0.000 0.000 2.186 Cl
```

(15)
The following is a DFT calculation (meta-GGA SCAN) of SrZrOs2O at its PBEsol-relaxed geometry.

Properties
For the raw formation energy, the calculation gives 943 kJ/mol of formula units.

```
SrZrOs2O
1.0
4.927 0.000 0.000
0.000 4.927 0.000
0.000 0.000 4.142
Sr Zr Os O
1 1 2 1
Cartesian
0.000 0.000 0.000 Sr
2.464 2.464 2.071 Zr
0.000 2.464 0.000 Os
2.464 0.000 0.000 Os
0.000 0.000 2.071 O
```

(16)
The following is a DFT calculation (meta-GGA SCAN) of BaBe3F at its PBEsol-relaxed geometry.

Properties
For the raw formation energy, the calculation gives 842 kJ/mol of formula units.

```
BaBe3F
1.0
6.257 0.000 0.000
0.000 6.257 0.000
0.000 0.000 6.257
Ba Be F
1 3 1
Cartesian
0.000 0.000 0.000 Ba
0.000 0.000 3.128 Be
0.000 3.128 0.000 Be
3.128 0.000 0.000 Be
3.128 3.128 3.128 F
```

(17)
The following is a DFT calculation (meta-GGA SCAN) of ZrBe2CoHg at its PBEsol-relaxed geometry.

Properties
The energy is -24.639 eV per atom.

```
ZrBe2CoHg
1.0
4.058 0.000 0.000
0.000 4.058 0.000
0.000 0.000 4.701
Zr Be Co Hg
1 2 1 1
Cartesian
0.000 0.000 0.000 Zr
0.000 2.029 2.351 Be
2.029 0.000 2.351 Be
2.029 2.029 2.351 Co
2.029 2.029 0.000 Hg
```

(18)
The following is a DFT calculation (meta-GGA SCAN) of KOsBr2 at its PBEsol-relaxed geometry.

Properties
For the raw formation energy, the calculation gives 380 kJ/mol of formula units.

```
KOsBr2
1.0
7.475 0.000 0.000
0.000 7.475 0.000
0.000 0.000 7.475
K Os Br
4 4 8
Cartesian
0.000 0.000 0.000 K
0.000 3.737 3.737 K
3.737 0.000 3.737 K
3.737 3.737 0.000 K
1.869 1.869 5.606 Os
1.869 5.606 1.869 Os
5.606 1.869 1.869 Os
5.606 5.606 5.606 Os
0.000 0.000 3.737 Br
0.000 3.737 0.000 Br
1.869 1.869 1.869 Br
1.869 5.606 5.606 Br
3.737 0.000 0.000 Br
3.737 3.737 3.737 Br
5.606 1.869 5.606 Br
5.606 5.606 1.869 Br
```

(19)
The following is a DFT calculation (meta-GGA SCAN) of YBOsF2 at its PBEsol-relaxed geometry.

Properties
For the raw formation energy, the calculation gives -230 kJ/mol of formula units.

```
YBOsF2
1.0
3.977 0.000 0.000
0.000 3.977 0.000
0.000 0.000 4.301
Y B Os F
1 1 1 2
Cartesian
0.000 0.000 0.000 Y
1.989 1.989 2.150 B
1.989 1.989 0.000 Os
0.000 1.989 2.150 F
1.989 0.000 2.150 F
```

(20)
The following is a DFT calculation (meta-GGA SCAN) of SrTa2Re at its PBEsol-relaxed geometry.

Properties
The energy is -56.115 eV per atom.

```
SrTa2Re
1.0
3.225 0.000 0.000
0.000 3.225 0.000
0.000 0.000 8.126
Sr Ta Re
1 2 1
Cartesian
0.000 0.000 0.000 Sr
0.000 0.000 4.446 Ta
1.612 1.612 2.781 Ta
1.612 1.612 5.784 Re
```

(21)
The following is a DFT calculation (meta-GGA SCAN) of MgSc2Re at its PBEsol-relaxed geometry.

Properties
The energy is -26.287 eV per atom.

```
MgSc2Re
1.0
3.266 0.000 0.000
0.000 3.266 0.000
0.000 0.000 7.548
Mg Sc Re
1 2 1
Cartesian
0.000 0.000 0.000 Mg
1.633 1.633 2.262 Sc
1.633 1.633 5.287 Sc
0.000 0.000 3.774 Re
```

(22)
The following is a DFT calculation (meta-GGA SCAN) of AgRhF2 at its PBEsol-relaxed geometry.

Properties
For the raw formation energy, the calculation gives -278 kJ/mol of formula units.

```
AgRhF2
1.0
2.837 0.000 0.000
-1.419 2.457 0.000
0.000 0.000 24.076
Ag Rh F
3 3 6
Cartesian
0.000 0.000 0.000 Ag
0.000 1.638 16.051 Ag
1.419 0.819 8.025 Ag
0.000 0.000 12.038 Rh
0.000 1.638 4.013 Rh
1.419 0.819 20.063 Rh
0.000 0.000 2.459 F
0.000 0.000 21.617 F
0.000 1.638 13.591 F
0.000 1.638 18.510 F
1.419 0.819 5.566 F
1.419 0.819 10.485 F
```

(23)
The following is a DFT calculation (meta-GGA SCAN) of TcAgBr2 at its PBEsol-relaxed geometry.

Properties
For the raw formation energy, the calculation gives 206 kJ/mol of formula units.

```
TcAgBr2
1.0
6.657 0.000 0.000
0.000 8.370 0.000
-1.384 0.000 2.978
Tc Ag Br
2 2 4
Cartesian
0.000 0.000 0.000 Tc
3.328 4.185 0.000 Tc
0.000 4.185 0.000 Ag
3.328 0.000 0.000 Ag
1.664 2.093 0.000 Br
1.664 6.278 0.000 Br
4.993 2.093 0.000 Br
4.993 6.278 0.000 Br
```

(24)
The following is a DFT calculation (meta-GGA SCAN) of HgTe2Rh at its PBEsol-relaxed geometry.

Properties
For the raw formation energy, the calculation gives -129 kJ/mol of formula units.

```
HgTe2Rh
1.0
3.935 0.000 0.000
-1.968 3.408 0.000
0.000 0.000 21.740
Hg Te Rh
3 6 3
Cartesian
0.000 0.000 0.000 Hg
0.000 2.272 14.494 Hg
1.968 1.136 7.247 Hg
0.000 0.000 4.979 Te
0.000 0.000 16.762 Te
0.000 2.272 9.515 Te
0.000 2.272 19.472 Te
1.968 1.136 2.268 Te
1.968 1.136 12.225 Te
0.000 0.000 10.870 Rh
0.000 2.272 3.623 Rh
1.968 1.136 18.117 Rh
```

(25)
The following is a DFT calculation (meta-GGA SCAN) of Ga2H2Cl at its PBEsol-relaxed geometry.

Properties
The energy is -9.383 eV per atom.

```
Ga2H2Cl
1.0
4.010 0.000 0.000
0.000 4.010 0.000
0.000 0.000 8.978
Ga H Cl
4 4 2
Cartesian
0.000 2.005 2.245 Ga
0.000 2.005 6.734 Ga
2.005 0.000 2.245 Ga
2.005 0.000 6.734 Ga
0.000 0.000 1.729 H
0.000 0.000 7.249 H
2.005 2.005 2.760 H
2.005 2.005 6.218 H
0.000 0.000 4.489 Cl
2.005 2.005 0.000 Cl
```

(26)
The following is a DFT calculation (meta-GGA SCAN) of TaInOF2 at its PBEsol-relaxed geometry.

Properties
For the raw formation energy, the calculation gives -918 kJ/mol of formula units.

```
TaInOF2
1.0
4.339 0.000 0.000
0.000 4.339 0.000
0.000 0.000 3.945
Ta In O F
1 1 1 2
Cartesian
0.000 0.000 0.000 Ta
2.170 2.170 1.973 In
0.000 0.000 1.973 O
0.000 2.170 0.000 F
2.170 0.000 0.000 F
```

(27)
The following is a DFT calculation (meta-GGA SCAN) of MgOs2Ru at its PBEsol-relaxed geometry.

Properties
The energy is -45.620 eV per atom.

```
MgOs2Ru
1.0
2.934 0.000 0.000
0.000 4.425 0.000
0.000 0.000 8.686
Mg Os Ru
2 4 2
Cartesian
0.000 0.000 0.000 Mg
1.467 2.213 4.343 Mg
0.000 0.000 4.350 Os
0.000 2.213 6.530 Os
1.467 0.000 2.187 Os
1.467 2.213 0.007 Os
0.000 2.213 2.204 Ru
1.467 0.000 6.547 Ru
```

(28)
The following is a DFT calculation (meta-GGA SCAN) of Ni2OsRh at its PBEsol-relaxed geometry.

Properties
The energy is -34.159 eV per atom.

```
Ni2OsRh
1.0
5.135 0.000 0.000
0.000 8.533 0.000
-1.163 0.000 2.276
Ni Os Rh
4 2 2
Cartesian
1.284 2.133 0.000 Ni
1.284 6.399 0.000 Ni
3.851 2.133 0.000 Ni
3.851 6.399 0.000 Ni
-0.582 0.000 1.138 Os
1.986 4.266 1.138 Os
-0.582 4.266 1.138 Rh
1.986 0.000 1.138 Rh
```

(29)
The following is a DFT calculation (meta-GGA SCAN) of Sr2CaCu at its PBEsol-relaxed geometry.

Properties
The energy is -17.317 eV per atom.

```
Sr2CaCu
1.0
5.320 0.000 0.000
0.000 5.332 0.000
0.000 0.000 9.811
Sr Ca Cu
4 2 2
Cartesian
0.000 0.000 0.000 Sr
0.000 2.666 3.315 Sr
2.660 0.000 3.315 Sr
2.660 2.666 0.000 Sr
0.000 2.666 6.749 Ca
2.660 0.000 6.749 Ca
0.000 0.000 5.180 Cu
2.660 2.666 5.180 Cu
```

(30)
The following is a DFT calculation (meta-GGA SCAN) of Si2TeIr at its PBEsol-relaxed geometry.

Properties
For the raw formation energy, the calculation gives 20 kJ/mol of formula units.

```
Si2TeIr
1.0
3.565 0.000 0.000
-1.782 3.087 0.000
0.000 0.000 19.885
Si Te Ir
6 3 3
Cartesian
0.000 0.000 4.611 Si
0.000 0.000 15.274 Si
0.000 2.058 8.645 Si
0.000 2.058 17.868 Si
1.782 1.029 2.017 Si
1.782 1.029 11.239 Si
0.000 0.000 0.000 Te
0.000 2.058 13.256 Te
1.782 1.029 6.628 Te
0.000 0.000 9.942 Ir
0.000 2.058 3.314 Ir
1.782 1.029 16.571 Ir
```

M_tot / μB/atom: 0.92 0.00 0.00 0.00 0.00 0.00 0.00 0.00 0.29 0.00 0.00 0.00 0.00 0.29 0.43 0.20 0.00 0.86 0.18 0.00 0.02 0.64 0.84 0.00 0.00 0.36 0.00 0.00 0.00 0.00